DFT (GGA-PBE) results for crystalline ZrMoSe at its relaxed geometry.

Unit cell a=4.380 b=4.380 c=4.380 alpha=60.00 beta=60.00 gamma=60.00
Element x y z (fractional)
Se 0.750 0.750 0.750
Mo 0.500 0.500 0.500
Zr 0.000 0.000 0.000

For the energy relative to the lowest polymorph listed for this composition, the calculation gives 384 meV/atom. The value obtained for the total magnetic moment is 1.32 μB/f.u. For the density of states at the Fermi level, the calculation gives 2.57 states/eV/cell. The calculation puts the raw formation energy at 0.12 eV/atom. The symmetry is F-43m, No. 216.